i | The following is a GGA-PBE calculation of an optimized crystal structure of La4MgAg2, from Alexandria.

Magnetization: 0.00 μB/cell
Calculated volume: 680.2 Å³/cell

a b c (Å): 5.4269 5.4269 26.6690
angles (deg): 90.00 90.00 120.00
Last column: nearest neighbours and their distance in Å.
Space group R-3m (No. 166, hexagonal axes)
Asymmetric unit:
La 0.0000 0.0000 0.1225  3 Mg 3.35, 3 Ag 3.47, 3 La 3.69
La 0.0000 0.0000 0.2841  4 Ag 3.10-3.17
Mg 0.0000 0.0000 0.5000  2 Ag 2.66
Ag 0.0000 0.0000 0.4002  1 Mg 2.66

---

ii | The following is a GGA-PBE calculation of an optimized crystal structure of La4MgAg2, from Alexandria.

Magnetization: 3.30 μB/cell
Calculated volume: 647.0 Å³/cell

a b c (Å): 5.4056 5.4056 25.5676
angles (deg): 90.00 90.00 120.00
Last column: nearest neighbours and their distance in Å.
Space group R-3m (No. 166, hexagonal axes)
Asymmetric unit:
La 0.0000 0.0000 0.1126  4 Ag 3.15-3.22, 3 Mg 3.41
La 0.0000 0.0000 0.3654  4 Ag 3.24-3.51, 1 Mg 3.44, 3 La 3.53
Mg 0.0000 0.0000 0.5000  8 La 3.41-3.44, 6 Ag 3.62
Ag 0.0000 0.0000 0.2387  8 La 3.15-3.51

---

The relative energies come out as i 63; ii 0, with values in meV per atom.